Entry from the Alexandria database: SrPuBi2 after structural relaxation (GGA-PBE).

a b c (Å): 5.708 5.708 5.708
angles (deg): 60.00 60.00 60.00
Fractional coordinates of all 4 atoms:
Sr: 0.000 0.000 0.000
Pu: 0.500 0.500 0.500
Bi: 0.250 0.250 0.250
Bi: 0.750 0.750 0.750

Values from the calculation:
The raw total energy is -6.385 eV/atom. For the density of states at the Fermi level, the calculation gives 17.36 states/eV/f.u. As for the formation energy: -0.44 eV/atom. Its energy above the lowest structure with this stoichiometry is 80 meV per atom. The theoretical density is 9.46 g/cm³. Its space group is No. 225.